## ScInBr2 (PBE-GGA)

Data for ScInBr2 after structural relaxation.

Geometry as CIF:
```
data_ScInBr2
_chemical_formula_sum 'Sc2 In2 Br4'
_cell_length_a 8.1186
_cell_length_b 8.1186
_cell_length_c 8.1186
_cell_angle_alpha 128.19
_cell_angle_beta 128.19
_cell_angle_gamma 76.31
_space_group_name_H-M_alt 'P 1'
_space_group_IT_number 1
_space_group_name_Hall 'P 1'
loop_
_atom_site_label
_atom_site_fract_x
_atom_site_fract_y
_atom_site_fract_z
Sc1 0.0000 0.0000 0.0000
Sc2 0.7500 0.2500 0.5000
In1 0.2500 0.7500 0.5000
In2 0.5000 0.5000 0.0000
Br1 0.0265 0.6250 0.9015
Br2 0.3750 0.2765 0.4015
Br3 0.7235 0.1250 0.0985
Br4 0.8750 0.9735 0.5985
```

Summary:
- E_form (uncorrected): -12.12 kcal/mol of atoms
- Energy relative to the lowest polymorph listed for this composition: 457 meV/atom
- Mass density: 3.304 g cm⁻³
- Total magnetization: 2.4 Bohr magnetons per cell
- Fermi-level density of states: 3.76 states/eV/f.u.

## Y3Hg2Pb (PBE-GGA)

Data for Y3Hg2Pb after structural relaxation.

Geometry as CIF:
```
data_Y3Hg2Pb
_chemical_formula_sum 'Y3 Hg2 Pb1'
_cell_length_a 3.7301
_cell_length_b 3.7301
_cell_length_c 11.5312
_cell_angle_alpha 90.00
_cell_angle_beta 90.00
_cell_angle_gamma 90.00
_space_group_name_H-M_alt 'P 1'
_space_group_IT_number 1
_space_group_name_Hall 'P 1'
loop_
_atom_site_label
_atom_site_fract_x
_atom_site_fract_y
_atom_site_fract_z
Y1 0.0000 0.0000 0.0000
Y2 0.0000 0.0000 0.3206
Y3 0.0000 0.0000 0.6794
Hg1 0.5000 0.5000 0.1556
Hg2 0.5000 0.5000 0.8444
Pb1 0.5000 0.5000 0.5000
```

Summary:
- Mass density: 9.057 g cm⁻³
- Total magnetization: 0.0 Bohr magnetons per cell
- Energy of formation from the pure elements: -0.50 eV/atom
- Fermi-level density of states: 5.28 states/eV/f.u.

## KIrAu2 (PBE-GGA)

Data for KIrAu2 after structural relaxation.

Geometry as CIF:
```
data_KIrAu2
_chemical_formula_sum 'K1 Ir1 Au2'
_cell_length_a 2.7688
_cell_length_b 4.1106
_cell_length_c 7.5241
_cell_angle_alpha 90.00
_cell_angle_beta 90.18
_cell_angle_gamma 90.00
_space_group_name_H-M_alt 'P 1'
_space_group_IT_number 1
_space_group_name_Hall 'P 1'
loop_
_atom_site_label
_atom_site_fract_x
_atom_site_fract_y
_atom_site_fract_z
K1 0.0000 0.0000 0.0000
Ir1 0.0000 0.0000 0.5000
Au1 0.4989 0.5000 0.3124
Au2 0.5011 0.5000 0.6876
```

Summary:
- Energy relative to the lowest polymorph listed for this composition: 0 meV/atom
- Mass density: 12.124 g cm⁻³
- Total magnetization: 0.0 Bohr magnetons per cell
- Energy of formation from the pure elements: 0.29 eV/atom
- Fermi-level density of states: 2.60 states/eV/f.u.